# 1
Below is a relaxed structure of Ce2AlPt2, with properties calculated at the PBE level.

abc: 5.2043 5.6837 7.9084
angles: 111.06 90.00 90.00
Positions (direct):
Ce: 0.2500 0.2075 0.4149
Ce: 0.2500 0.5745 0.1490
Ce: 0.7500 0.7925 0.5851
Pt: 0.7500 0.8755 0.2469
Pt: 0.7500 0.3714 0.2469
Ce: 0.7500 0.4255 0.8510
Al: 0.5000 0.0000 0.0000
Al: 0.0000 0.0000 0.0000
Pt: 0.2500 0.1245 0.7531
Pt: 0.2500 0.6286 0.7531

Calculated formation energy   -87.41 kJ/mol of atoms
Space group   Cmcm (63)

=====

# 2
Below is a relaxed structure of CeAlPt6, with properties calculated at the PBE level.

abc: 4.0774 4.0774 8.0162
angles: 90.00 90.00 90.00
Positions (direct):
Pt: 0.0000 0.5000 0.7340
Pt: 0.5000 0.0000 0.7340
Ce: 0.0000 0.0000 0.0000
Al: 0.0000 0.0000 0.5000
Pt: 0.5000 0.5000 0.0000
Pt: 0.5000 0.0000 0.2660
Pt: 0.0000 0.5000 0.2660
Pt: 0.5000 0.5000 0.5000

Calculated formation energy   -78.48 kJ/mol of atoms
Space group   P4/mmm (123)

=====

# 3
Below is a relaxed structure of Ce2AlPt3, with properties calculated at the PBE level.

abc: 5.7878 5.7878 8.5078
angles: 104.46 104.46 105.41
Positions (direct):
Al: 0.6683 0.6683 0.3367
Pt: 0.1809 0.6410 0.8219
Pt: 0.6410 0.1809 0.8219
Ce: 0.2500 0.7500 0.5000
Ce: 0.2413 0.2413 0.0000
Ce: 0.7587 0.7587 0.0000
Pt: 0.8276 0.8276 0.6553
Pt: 0.1724 0.1724 0.3447
Al: 0.3317 0.3317 0.6633
Pt: 0.3590 0.8191 0.1781
Ce: 0.7500 0.2500 0.5000
Pt: 0.8191 0.3590 0.1781

Calculated formation energy   -97.07 kJ/mol of atoms
Space group   Fmmm (69)

=====

# 4
Below is a relaxed structure of CeAl11Pt, with properties calculated at the PBE level.

abc: 5.2754 7.1329 6.8809
angles: 82.64 67.46 70.47
Positions (direct):
Al: 0.4993 0.7793 0.2160
Al: 0.9960 0.6450 0.3532
Ce: 0.0000 0.0000 0.0000
Al: 0.0040 0.3550 0.6468
Al: 0.3493 0.6450 0.6468
Al: 0.2846 0.2207 0.2160
Al: 0.5000 0.0000 0.5000
Pt: 0.5000 0.5000 0.0000
Al: 0.0000 0.0000 0.5000
Al: 0.0000 0.5000 0.0000
Al: 0.6507 0.3550 0.3532
Al: 0.5007 0.2207 0.7840
Al: 0.7154 0.7793 0.7840

Calculated formation energy   -29.31 kJ/mol of atoms
Space group   C2/m (12)

=====

# 5
Below is a relaxed structure of Ce2Al4RuPt3, with properties calculated at the PBE level.

abc: 4.3025 4.3025 10.1772
angles: 90.00 90.00 90.00
Positions (direct):
Ce: 0.0000 0.5000 0.7400
Ce: 0.5000 0.0000 0.2600
Al: 0.5000 0.0000 0.6235
Pt: 0.0000 0.5000 0.1331
Al: 0.5000 0.5000 0.0000
Ru: 0.5000 0.5000 0.5000
Pt: 0.0000 0.0000 0.5000
Al: 0.0000 0.0000 0.0000
Al: 0.0000 0.5000 0.3765
Pt: 0.5000 0.0000 0.8669

Calculated formation energy   -94.55 kJ/mol of atoms
Space group   P-4m2 (115)

=====

# 6
Below is a relaxed structure of CeAl2SiPt, with properties calculated at the PBE level.

abc: 4.1320 4.0784 6.1639
angles: 109.32 109.58 90.00
Positions (direct):
Al: 0.6931 0.1931 0.3863
Ce: 0.4386 0.4386 0.8772
Si: 0.8300 0.8300 0.6601
Al: 0.0546 0.0546 0.1092
Pt: 0.1958 0.6958 0.3916

Formation energy from raw total energies   -4.01 eV/f.u.
Space group   Imm2 (44)

=====

# 7
Below is a relaxed structure of Ce2Al4SiPt3, with properties calculated at the PBE level.

abc: 4.2537 4.2537 10.4545
angles: 90.00 90.00 90.00
Positions (direct):
Si: 0.5000 0.5000 0.5000
Ce: 0.0000 0.5000 0.7484
Al: 0.0000 0.0000 0.0000
Pt: 0.0000 0.0000 0.5000
Pt: 0.5000 0.0000 0.8672
Ce: 0.5000 0.0000 0.2516
Al: 0.5000 0.0000 0.6334
Pt: 0.0000 0.5000 0.1328
Al: 0.5000 0.5000 0.0000
Al: 0.0000 0.5000 0.3666

Formation energy from raw total energies   -9.47 eV/f.u.
Space group   P-4m2 (115)

=====

# 8
Below is a relaxed structure of Ce2AlSi4Pt3, with properties calculated at the PBE level.

abc: 4.2068 4.2068 10.1188
angles: 90.00 90.00 90.00
Positions (direct):
Si: 0.0000 0.5000 0.3585
Ce: 0.5000 0.0000 0.2451
Pt: 0.0000 0.0000 0.5000
Pt: 0.0000 0.5000 0.1206
Pt: 0.5000 0.0000 0.8794
Si: 0.5000 0.5000 0.0000
Al: 0.5000 0.5000 0.5000
Ce: 0.0000 0.5000 0.7549
Si: 0.0000 0.0000 0.0000
Si: 0.5000 0.0000 0.6415

Formation energy from raw total energies   -10.05 eV/f.u.
Space group   P-4m2 (115)

=====

# 9
Below is a relaxed structure of Ce2AlSnPt6, with properties calculated at the PBE level.

abc: 5.6339 8.8765 5.6322
angles: 71.51 59.94 90.03
Positions (direct):
Ce: 0.2041 0.6114 0.5924
Al: 0.5000 0.5000 0.0000
Sn: 0.0000 0.0000 0.0000
Pt: 0.2552 0.2692 0.9867
Pt: 0.7448 0.7308 0.0133
Ce: 0.7959 0.3886 0.4076
Pt: 0.7575 0.2692 0.9865
Pt: 0.2425 0.7308 0.0135
Pt: 0.2552 0.2694 0.4887
Pt: 0.7448 0.7306 0.5113

Calculated formation energy   -78.44 kJ/mol of atoms
Space group   C2/m (12)

=====

# 10
Below is a relaxed structure of Ce2TiAlPt6, with properties calculated at the PBE level.

abc: 8.3439 5.6993 5.7165
angles: 60.03 69.86 89.93
Positions (direct):
Ce: 0.6300 0.2104 0.5791
Pt: 0.2516 0.2489 0.5025
Pt: 0.7484 0.7511 0.4975
Pt: 0.2512 0.7525 0.9993
Ce: 0.3700 0.7896 0.4209
Pt: 0.7487 0.7514 0.0010
Pt: 0.7488 0.2475 0.0007
Al: 0.0000 0.0000 0.0000
Ti: 0.5000 0.5000 0.0000
Pt: 0.2513 0.2486 0.9990

Calculated formation energy   -75.91 kJ/mol of atoms
Space group   P-1 (2)

=====

# 11
Below is a relaxed structure of CeAlZnPt2, with properties calculated at the PBE level.

abc: 4.0188 4.0188 6.5911
angles: 107.75 107.75 90.00
Positions (direct):
Pt: 0.3860 0.3860 0.7720
Al: 0.7500 0.2500 0.5000
Zn: 0.2500 0.7500 0.5000
Ce: 0.0000 0.0000 0.0000
Pt: 0.6140 0.6140 0.2280

Calculated formation energy   -87.71 kJ/mol of atoms
Space group   I-4m2 (119)

=====

# 12
Below is a relaxed structure of CeAlZnPt, with properties calculated at the PBE level.

abc: 4.7637 4.7637 4.7637
angles: 60.00 60.00 60.00
Positions (direct):
Al: 0.5000 0.5000 0.5000
Pt: 0.7500 0.7500 0.7500
Ce: 0.0000 0.0000 0.0000
Zn: 0.2500 0.2500 0.2500

Calculated formation energy   -62.00 kJ/mol of atoms
Space group   F-43m (216)

=====

| no. | V (Å³ per atom) |
| --- | --- |
| 1 | 21.83 |
| 2 | 16.66 |
| 3 | 20.86 |
| 4 | 17.34 |
| 5 | 18.84 |
| 6 | 18.33 |
| 7 | 18.92 |
| 8 | 17.91 |
| 9 | 22.68 |
| 10 | 21.62 |
| 11 | 19.21 |
| 12 | 19.11 |